1) {
  "formula": "RbIrW2",
  "functional": "PBE-GGA",
  "state": "optimized geometry",
  "lattice_angstrom": [[-4.159, 0.226, 2.989], [-2.614, -2.775, -3.428], [-0.892, -8.598, 3.807]],
  "species": ["Ir", "Ir", "Rb", "Rb", "W", "W", "W", "W"],
  "frac_coords": [[0.000, 0.000, 0.000], [0.750, 0.250, 0.500], [0.500, 0.500, 0.000], [0.250, 0.750, 0.500], [0.860, 0.125, 0.250], [0.890, 0.625, 0.250], [0.375, 0.140, 0.750], [0.875, 0.110, 0.750]],
  "space_group": "I-42d, No. 122"
}


2) {
  "formula": "RbIrW2",
  "functional": "PBE-GGA",
  "state": "optimized geometry",
  "lattice_angstrom": [[-3.741, -2.033, 1.795], [-1.918, 1.681, 3.853], [-4.100, 2.121, -0.197]],
  "species": ["Ir", "Rb", "W", "W"],
  "frac_coords": [[0.500, 0.500, 0.500], [0.000, 0.000, 0.000], [0.250, 0.250, 0.250], [0.750, 0.750, 0.750]],
  "space_group": "Fm-3m, No. 225"
}


1) is the most stable structure; the next one sits 0.033 eV/atom above it.


1) {
  "formula": "Rb2IrW2",
  "functional": "PBE-GGA",
  "state": "optimized geometry",
  "lattice_angstrom": [[-0.722, 9.899, -0.348], [-1.077, -0.426, -9.864], [-2.659, -0.184, 0.298]],
  "species": ["Ir", "Ir", "Rb", "Rb", "Rb", "Rb", "W", "W", "W", "W"],
  "frac_coords": [[0.000, 0.000, 0.000], [0.500, 0.500, 0.000], [0.386, 0.886, 0.000], [0.886, 0.614, 0.000], [0.614, 0.114, 0.000], [0.114, 0.386, 0.000], [0.191, 0.691, 0.500], [0.691, 0.809, 0.500], [0.809, 0.309, 0.500], [0.309, 0.191, 0.500]],
  "space_group": "P4/mbm, No. 127"
}


2) {
  "formula": "Rb2IrW2",
  "functional": "PBE-GGA",
  "state": "optimized geometry",
  "lattice_angstrom": [[-0.080, -2.943, -1.929], [3.192, -0.874, 1.200], [-3.501, -7.783, 8.806]],
  "species": ["Ir", "Rb", "Rb", "W", "W"],
  "frac_coords": [[0.000, 0.000, 0.000], [0.401, 0.401, 0.199], [0.599, 0.599, 0.801], [0.750, 0.250, 0.500], [0.250, 0.750, 0.500]],
  "space_group": "I4/mmm, No. 139"
}


2) is the most stable structure; the next one sits 1.370 eV/atom above it.


1) {
  "formula": "Rb2YIr",
  "functional": "PBE-GGA",
  "state": "optimized geometry",
  "lattice_angstrom": [[-9.469, -2.134, -8.252], [8.503, -1.521, -9.364], [-0.365, -4.356, -8.290]],
  "species": ["Y", "Y", "Ir", "Ir", "Rb", "Rb", "Rb", "Rb"],
  "frac_coords": [[0.500, 0.500, 0.000], [0.250, 0.750, 0.500], [0.000, 0.000, 0.000], [0.750, 0.250, 0.500], [0.772, 0.125, 0.250], [0.978, 0.625, 0.250], [0.375, 0.228, 0.750], [0.875, 0.022, 0.750]],
  "space_group": "I-42d, No. 122"
}


2) {
  "formula": "Rb2YIr",
  "functional": "PBE-GGA",
  "state": "optimized geometry",
  "lattice_angstrom": [[0.040, 2.681, 4.932], [-3.869, -1.209, 3.884], [1.474, -2.741, 4.672]],
  "species": ["Y", "Ir", "Rb", "Rb"],
  "frac_coords": [[0.000, 0.000, 0.000], [0.500, 0.500, 0.500], [0.250, 0.250, 0.250], [0.750, 0.750, 0.750]],
  "space_group": "Fm-3m, No. 225"
}


1) is the most stable structure; the next one sits 0.721 eV/atom above it.


1) {
  "formula": "RbY2Ir",
  "functional": "PBE-GGA",
  "state": "optimized geometry",
  "lattice_angstrom": [[8.506, 0.000, 0.000], [0.000, 8.506, 0.000], [4.253, 4.253, 5.996]],
  "species": ["Y", "Y", "Y", "Y", "Ir", "Ir", "Rb", "Rb"],
  "frac_coords": [[0.859, 0.125, 0.250], [0.891, 0.625, 0.250], [0.375, 0.141, 0.750], [0.875, 0.109, 0.750], [0.000, 0.000, 0.000], [0.750, 0.250, 0.500], [0.500, 0.500, 0.000], [0.250, 0.750, 0.500]],
  "space_group": "I-42d, No. 122"
}


2) {
  "formula": "RbY2Ir",
  "functional": "PBE-GGA",
  "state": "optimized geometry",
  "lattice_angstrom": [[0.000, 3.704, 3.704], [3.704, 0.000, 3.704], [3.704, 3.704, 0.000]],
  "species": ["Y", "Y", "Ir", "Rb"],
  "frac_coords": [[0.250, 0.250, 0.250], [0.750, 0.750, 0.750], [0.500, 0.500, 0.500], [0.000, 0.000, 0.000]],
  "space_group": "Fm-3m, No. 225"
}


1) is the most stable structure; the next one sits 0.008 eV/atom above it.


1) {
  "formula": "RbYIr2",
  "functional": "PBE-GGA",
  "state": "optimized geometry",
  "lattice_angstrom": [[-2.693, 0.966, 4.093], [-3.791, 3.244, -0.213], [-4.707, -1.635, 0.335]],
  "species": ["Y", "Ir", "Ir", "Rb"],
  "frac_coords": [[0.500, 0.500, 0.500], [0.250, 0.250, 0.250], [0.750, 0.750, 0.750], [0.000, 0.000, 0.000]],
  "space_group": "Fm-3m, No. 225"
}


2) {
  "formula": "RbYIr2",
  "functional": "PBE-GGA",
  "state": "optimized geometry",
  "lattice_angstrom": [[5.106, 0.000, 0.000], [0.000, 5.106, 0.000], [2.553, 2.553, 9.489]],
  "species": ["Y", "Y", "Ir", "Ir", "Ir", "Ir", "Rb", "Rb"],
  "frac_coords": [[0.000, 0.000, 0.000], [0.750, 0.250, 0.500], [0.838, 0.125, 0.250], [0.912, 0.625, 0.250], [0.375, 0.162, 0.750], [0.875, 0.088, 0.750], [0.500, 0.500, 0.000], [0.250, 0.750, 0.500]],
  "space_group": "I-42d, No. 122"
}


2) is the most stable structure; the next one sits 0.089 eV/atom above it.


1) {
  "formula": "RbZrIr2",
  "functional": "PBE-GGA",
  "state": "optimized geometry",
  "lattice_angstrom": [[-5.435, 0.235, 5.508], [-3.451, -6.177, -3.142], [-2.773, -4.782, 2.909]],
  "species": ["Ir", "Ir", "Ir", "Ir", "Rb", "Rb", "Zr", "Zr"],
  "frac_coords": [[0.667, 0.125, 0.250], [0.083, 0.625, 0.250], [0.375, 0.333, 0.750], [0.875, 0.917, 0.750], [0.500, 0.500, 0.000], [0.250, 0.750, 0.500], [0.000, 0.000, 0.000], [0.750, 0.250, 0.500]],
  "space_group": "I-42d, No. 122"
}


2) {
  "formula": "RbZrIr2",
  "functional": "PBE-GGA",
  "state": "optimized geometry",
  "lattice_angstrom": [[-0.254, -4.813, 0.537], [-3.466, -2.514, -2.276], [1.152, -2.917, -3.698]],
  "species": ["Ir", "Ir", "Rb", "Zr"],
  "frac_coords": [[0.250, 0.250, 0.250], [0.750, 0.750, 0.750], [0.000, 0.000, 0.000], [0.500, 0.500, 0.500]],
  "space_group": "Fm-3m, No. 225"
}


2) is the most stable structure; the next one sits 0.016 eV/atom above it.